Below is BeAg2Os after structural relaxation, with properties calculated at the PBE level.

The crystal system is orthorhombic.

The space group is Cmm2 (No. 35) and the conventional cell measures 2.9088, 4.5891 and 8.8406 Å, with angles of 90.00, 90.00 and 90.00 degrees. The asymmetric unit holds Be at (0.0000, 0.0000, 0.0000), Ag at (0.0000, 0.0000, 0.5158), Ag at (0.0000, 0.5000, 0.2280) and Os at (0.0000, 0.5000, 0.8004).



Below is Be2AgOs after structural relaxation, with properties calculated at the PBE level.

The crystal system is cubic.

The space group is Fm-3m (No. 225) and the conventional cell measures 5.7137, 5.7137 and 5.7137 Å, with angles of 90.00, 90.00 and 90.00 degrees. The asymmetric unit holds Be at (0.2500, 0.2500, 0.2500), Ag at (0.0000, 0.0000, 0.0000) and Os at (0.0000, 0.0000, 0.5000).



Below is BeAg2Os after structural relaxation, with properties calculated at the PBE level.

The crystal system is tetragonal.

The space group is P4/mmm (No. 123) and the conventional cell measures 2.7126, 2.7126 and 7.8260 Å, with angles of 90.00, 90.00 and 90.00 degrees. The asymmetric unit holds Be at (0.0000, 0.0000, 0.0000), Ag at (0.5000, 0.5000, 0.2163) and Os at (0.0000, 0.0000, 0.5000).



Below is Be2AgOs after structural relaxation, with properties calculated at the PBE level.

The crystal system is tetragonal.

The space group is P4mm (No. 99) and the conventional cell measures 2.8194, 2.8194 and 6.0247 Å, with angles of 90.00, 90.00 and 90.00 degrees. The asymmetric unit holds Be at (0.0000, 0.0000, 0.0000), Be at (0.5000, 0.5000, 0.1847), Ag at (0.5000, 0.5000, 0.7456) and Os at (0.0000, 0.0000, 0.3916).



Below is Be2AgOs after structural relaxation, with properties calculated at the PBE level.

The crystal system is orthorhombic.

The space group is Imm2 (No. 44) and the conventional cell measures 2.6943, 4.0858 and 8.8644 Å, with angles of 90.00, 90.00 and 90.00 degrees. The asymmetric unit holds Be at (0.0000, 0.0000, 0.0000), Be at (0.0000, 0.5000, 0.2656), Ag at (0.0000, 0.0000, 0.5152) and Os at (0.0000, 0.5000, 0.7360).



Below is Be2AgOs after structural relaxation, with properties calculated at the PBE level.

The crystal system is orthorhombic.

The space group is Cmmm (No. 65) and the conventional cell measures 2.9469, 4.4863 and 7.6485 Å, with angles of 90.00, 90.00 and 90.00 degrees. The asymmetric unit holds Be at (0.0000, 0.0000, 0.2323), Ag at (0.0000, 0.5000, 0.5000) and Os at (0.0000, 0.5000, 0.0000).



Below is BeAg2Os after structural relaxation, with properties calculated at the PBE level.

The crystal system is orthorhombic.

The space group is Immm (No. 71) and the conventional cell measures 2.7020, 4.4771 and 9.4893 Å, with angles of 90.00, 90.00 and 90.00 degrees. The asymmetric unit holds Be at (0.0000, 0.0000, 0.0000), Ag at (0.0000, 0.5000, 0.2878) and Os at (0.0000, 0.0000, 0.5000).



Below is Be2AgOs2 after structural relaxation, with properties calculated at the PBE level.

The crystal system is tetragonal.

The space group is P4/mbm (No. 127) and the conventional cell measures 6.1469, 6.1469 and 3.1923 Å, with angles of 90.00, 90.00 and 90.00 degrees. The asymmetric unit holds Be at (0.1218, 0.3782, 0.0000), Ag at (0.0000, 0.0000, 0.0000) and Os at (0.1673, 0.6673, 0.5000).



no.,DFT formation energy (eV/atom),uncorrected energy (eV/atom)
1,0.306,-4.86
2,0.132,-5.25
3,0.575,-4.59
4,0.195,-5.19
5,0.244,-5.14
6,0.196,-5.19
7,0.471,-4.69
8,0.228,-6.32